## Sr6MgHg (PBE-GGA)

Data for crystalline Sr6MgHg at its relaxed geometry.

```
data_Sr6MgHg
_cell_length_a 5.864
_cell_length_b 5.864
_cell_length_c 11.113
_cell_angle_alpha 74.70
_cell_angle_beta 74.70
_cell_angle_gamma 90.00
_symmetry_space_group_name_H-M 'P 1'
_symmetry_Int_Tables_number 1
loop_
_symmetry_equiv_pos_as_xyz
'x,y,z'
loop_
_atom_site_label
_atom_site_fract_x
_atom_site_fract_y
_atom_site_fract_z
Sr1 0.748 0.748 0.504
Sr2 0.596 0.096 0.808
Sr3 0.096 0.596 0.808
Sr4 0.404 0.904 0.192
Sr5 0.252 0.252 0.496
Sr6 0.904 0.404 0.192
Mg1 0.500 0.500 0.000
Hg1 0.000 0.000 0.000
```

The total energy comes out at -1.6395 eV/atom. The formation energy comes out at -0.1411 eV/atom.



## SrMg4Hg8 (PBE-GGA)

Data for crystalline SrMg4Hg8 at its relaxed geometry.

```
data_SrMg4Hg8
_cell_length_a 6.234
_cell_length_b 7.705
_cell_length_c 7.705
_cell_angle_alpha 80.58
_cell_angle_beta 66.14
_cell_angle_gamma 66.14
_symmetry_space_group_name_H-M 'P 1'
_symmetry_Int_Tables_number 1
loop_
_symmetry_equiv_pos_as_xyz
'x,y,z'
loop_
_atom_site_label
_atom_site_fract_x
_atom_site_fract_y
_atom_site_fract_z
Sr1 0.000 0.000 0.000
Mg1 0.000 0.000 0.500
Mg2 0.500 0.000 0.500
Mg3 0.000 0.500 0.000
Mg4 0.500 0.500 0.000
Hg1 0.000 0.337 0.663
Hg2 0.000 0.663 0.337
Hg3 0.337 0.663 0.663
Hg4 0.663 0.337 0.337
Hg5 0.500 0.780 0.220
Hg6 0.500 0.220 0.780
Hg7 0.280 0.220 0.220
Hg8 0.720 0.780 0.780
```

The total energy comes out at -1.0476 eV/atom. The formation energy comes out at -0.2419 eV/atom.



## SrMg4Hg2 (PBE-GGA)

Data for crystalline SrMg4Hg2 at its relaxed geometry.

```
data_SrMg4Hg2
_cell_length_a 4.562
_cell_length_b 8.852
_cell_length_c 8.852
_cell_angle_alpha 90.00
_cell_angle_beta 90.00
_cell_angle_gamma 90.00
_symmetry_space_group_name_H-M 'P 1'
_symmetry_Int_Tables_number 1
loop_
_symmetry_equiv_pos_as_xyz
'x,y,z'
loop_
_atom_site_label
_atom_site_fract_x
_atom_site_fract_y
_atom_site_fract_z
Sr1 0.500 0.000 0.000
Sr2 0.000 0.500 0.500
Mg1 0.000 0.088 0.341
Mg2 0.000 0.912 0.659
Mg3 0.500 0.159 0.588
Mg4 0.500 0.841 0.412
Mg5 0.500 0.412 0.841
Mg6 0.500 0.588 0.159
Mg7 0.000 0.341 0.088
Mg8 0.000 0.659 0.912
Hg1 0.000 0.214 0.786
Hg2 0.000 0.786 0.214
Hg3 0.500 0.714 0.714
Hg4 0.500 0.286 0.286
```

The total energy comes out at -1.5221 eV/atom. The formation energy comes out at -0.2844 eV/atom.



## SrMg2Hg3 (PBE-GGA)

Data for crystalline SrMg2Hg3 at its relaxed geometry.

```
data_SrMg2Hg3
_cell_length_a 4.522
_cell_length_b 8.351
_cell_length_c 8.793
_cell_angle_alpha 90.00
_cell_angle_beta 90.00
_cell_angle_gamma 105.71
_symmetry_space_group_name_H-M 'P 1'
_symmetry_Int_Tables_number 1
loop_
_symmetry_equiv_pos_as_xyz
'x,y,z'
loop_
_atom_site_label
_atom_site_fract_x
_atom_site_fract_y
_atom_site_fract_z
Sr1 0.209 0.419 0.250
Sr2 0.791 0.581 0.750
Mg1 0.000 0.000 0.000
Mg2 0.000 0.000 0.500
Mg3 0.506 0.012 0.250
Mg4 0.494 0.988 0.750
Hg1 0.628 0.257 0.003
Hg2 0.124 0.248 0.750
Hg3 0.628 0.257 0.497
Hg4 0.876 0.752 0.250
Hg5 0.372 0.743 0.997
Hg6 0.372 0.743 0.503
```

The total energy comes out at -1.2774 eV/atom. The formation energy comes out at -0.3147 eV/atom.



## SrMg3Hg2 (PBE-GGA)

Data for crystalline SrMg3Hg2 at its relaxed geometry.

```
data_SrMg3Hg2
_cell_length_a 4.538
_cell_length_b 9.123
_cell_length_c 8.886
_cell_angle_alpha 115.19
_cell_angle_beta 90.00
_cell_angle_gamma 104.40
_symmetry_space_group_name_H-M 'P 1'
_symmetry_Int_Tables_number 1
loop_
_symmetry_equiv_pos_as_xyz
'x,y,z'
loop_
_atom_site_label
_atom_site_fract_x
_atom_site_fract_y
_atom_site_fract_z
Sr1 0.854 0.707 0.939
Sr2 0.146 0.293 0.061
Mg1 0.314 0.629 0.547
Mg2 0.954 0.909 0.615
Mg3 0.595 0.190 0.683
Mg4 0.405 0.810 0.317
Mg5 0.046 0.091 0.385
Mg6 0.686 0.371 0.453
Hg1 0.478 0.956 0.825
Hg2 0.522 0.044 0.175
Hg3 0.799 0.597 0.293
Hg4 0.201 0.403 0.707
```

The total energy comes out at -1.4695 eV/atom. The formation energy comes out at -0.2913 eV/atom.



## SrMg2Hg5 (PBE-GGA)

Data for crystalline SrMg2Hg5 at its relaxed geometry.

```
data_SrMg2Hg5
_cell_length_a 4.484
_cell_length_b 7.753
_cell_length_c 7.753
_cell_angle_alpha 55.94
_cell_angle_beta 73.19
_cell_angle_gamma 73.19
_symmetry_space_group_name_H-M 'P 1'
_symmetry_Int_Tables_number 1
loop_
_symmetry_equiv_pos_as_xyz
'x,y,z'
loop_
_atom_site_label
_atom_site_fract_x
_atom_site_fract_y
_atom_site_fract_z
Sr1 0.000 0.000 0.000
Mg1 0.772 0.728 0.728
Mg2 0.228 0.272 0.272
Hg1 0.000 0.500 0.500
Hg2 0.625 0.591 0.160
Hg3 0.375 0.409 0.840
Hg4 0.375 0.840 0.409
Hg5 0.625 0.160 0.591
```

The total energy comes out at -1.0519 eV/atom. The formation energy comes out at -0.2544 eV/atom.



## Sr4MgHg5 (PBE-GGA)

Data for crystalline Sr4MgHg5 at its relaxed geometry.

```
data_Sr4MgHg5
_cell_length_a 3.905
_cell_length_b 3.905
_cell_length_c 19.629
_cell_angle_alpha 90.00
_cell_angle_beta 90.00
_cell_angle_gamma 90.00
_symmetry_space_group_name_H-M 'P 1'
_symmetry_Int_Tables_number 1
loop_
_symmetry_equiv_pos_as_xyz
'x,y,z'
loop_
_atom_site_label
_atom_site_fract_x
_atom_site_fract_y
_atom_site_fract_z
Sr1 0.000 0.000 0.186
Sr2 0.000 0.000 0.395
Sr3 0.000 0.000 0.605
Sr4 0.000 0.000 0.814
Mg1 0.000 0.000 0.000
Hg1 0.500 0.500 0.080
Hg2 0.500 0.500 0.290
Hg3 0.500 0.500 0.500
Hg4 0.500 0.500 0.710
Hg5 0.500 0.500 0.920
```

The total energy comes out at -1.4457 eV/atom. The formation energy comes out at -0.4626 eV/atom.



## Sr3MgHg (PBE-GGA)

Data for crystalline Sr3MgHg at its relaxed geometry.

```
data_Sr3MgHg
_cell_length_a 5.809
_cell_length_b 5.808
_cell_length_c 11.649
_cell_angle_alpha 90.00
_cell_angle_beta 75.56
_cell_angle_gamma 90.00
_symmetry_space_group_name_H-M 'P 1'
_symmetry_Int_Tables_number 1
loop_
_symmetry_equiv_pos_as_xyz
'x,y,z'
loop_
_atom_site_label
_atom_site_fract_x
_atom_site_fract_y
_atom_site_fract_z
Sr1 0.752 0.250 0.144
Sr2 0.395 0.250 0.859
Sr3 0.574 0.250 0.500
Sr4 0.253 0.750 0.141
Sr5 0.896 0.750 0.856
Sr6 0.074 0.750 0.500
Mg1 0.483 0.750 0.683
Mg2 0.165 0.250 0.317
Hg1 0.666 0.750 0.315
Hg2 0.982 0.250 0.685
```

The total energy comes out at -1.6148 eV/atom. The formation energy comes out at -0.2264 eV/atom.



## Sr6Mg15Hg8 (PBE-GGA)

Data for crystalline Sr6Mg15Hg8 at its relaxed geometry.

```
data_Sr6Mg15Hg8
_cell_length_a 10.460
_cell_length_b 10.460
_cell_length_c 10.460
_cell_angle_alpha 60.00
_cell_angle_beta 60.00
_cell_angle_gamma 60.00
_symmetry_space_group_name_H-M 'P 1'
_symmetry_Int_Tables_number 1
loop_
_symmetry_equiv_pos_as_xyz
'x,y,z'
loop_
_atom_site_label
_atom_site_fract_x
_atom_site_fract_y
_atom_site_fract_z
Sr1 0.733 0.733 0.267
Sr2 0.267 0.267 0.733
Sr3 0.733 0.267 0.267
Sr4 0.267 0.733 0.733
Sr5 0.733 0.267 0.733
Sr6 0.267 0.733 0.267
Mg1 0.012 0.329 0.329
Mg2 0.988 0.671 0.671
Mg3 0.329 0.329 0.012
Mg4 0.329 0.329 0.329
Mg5 0.671 0.671 0.988
Mg6 0.671 0.671 0.671
Mg7 0.329 0.012 0.329
Mg8 0.671 0.988 0.671
Mg9 0.500 0.500 0.000
Mg10 0.000 0.000 0.500
Mg11 0.500 0.000 0.000
Mg12 0.000 0.500 0.500
Mg13 0.500 0.000 0.500
Mg14 0.000 0.500 0.000
Mg15 0.000 0.000 0.000
Hg1 0.605 0.132 0.132
Hg2 0.395 0.868 0.868
Hg3 0.132 0.132 0.605
Hg4 0.132 0.132 0.132
Hg5 0.868 0.868 0.395
Hg6 0.868 0.868 0.868
Hg7 0.132 0.605 0.132
Hg8 0.868 0.395 0.868
```

The total energy comes out at -1.4958 eV/atom. The formation energy comes out at -0.2398 eV/atom.



## SrMgHg6 (PBE-GGA)

Data for crystalline SrMgHg6 at its relaxed geometry.

```
data_SrMgHg6
_cell_length_a 4.626
_cell_length_b 4.626
_cell_length_c 10.340
_cell_angle_alpha 90.00
_cell_angle_beta 90.00
_cell_angle_gamma 90.00
_symmetry_space_group_name_H-M 'P 1'
_symmetry_Int_Tables_number 1
loop_
_symmetry_equiv_pos_as_xyz
'x,y,z'
loop_
_atom_site_label
_atom_site_fract_x
_atom_site_fract_y
_atom_site_fract_z
Sr1 0.000 0.000 0.000
Mg1 0.000 0.000 0.500
Hg1 0.500 0.000 0.670
Hg2 0.000 0.500 0.670
Hg3 0.500 0.500 0.139
Hg4 0.500 0.500 0.861
Hg5 0.000 0.500 0.330
Hg6 0.500 0.000 0.330
```

The total energy comes out at -0.8328 eV/atom. The formation energy comes out at -0.1969 eV/atom.



## SrMg12Hg4 (PBE-GGA)

Data for crystalline SrMg12Hg4 at its relaxed geometry.

```
data_SrMg12Hg4
_cell_length_a 8.520
_cell_length_b 8.520
_cell_length_c 8.520
_cell_angle_alpha 109.47
_cell_angle_beta 109.47
_cell_angle_gamma 109.47
_symmetry_space_group_name_H-M 'P 1'
_symmetry_Int_Tables_number 1
loop_
_symmetry_equiv_pos_as_xyz
'x,y,z'
loop_
_atom_site_label
_atom_site_fract_x
_atom_site_fract_y
_atom_site_fract_z
Sr1 0.000 0.000 0.000
Mg1 0.835 0.346 0.181
Mg2 0.346 0.511 0.165
Mg3 0.819 0.165 0.654
Mg4 0.346 0.181 0.835
Mg5 0.181 0.835 0.346
Mg6 0.654 0.489 0.835
Mg7 0.511 0.165 0.346
Mg8 0.489 0.835 0.654
Mg9 0.654 0.819 0.165
Mg10 0.835 0.654 0.489
Mg11 0.165 0.346 0.511
Mg12 0.165 0.654 0.819
Hg1 0.000 0.500 0.000
Hg2 0.500 0.000 0.000
Hg3 0.500 0.500 0.500
Hg4 0.000 0.000 0.500
```

The total energy comes out at -1.2306 eV/atom. The formation energy comes out at 0.0649 eV/atom.



## Sr2MgHg (PBE-GGA)

Data for crystalline Sr2MgHg at its relaxed geometry.

```
data_Sr2MgHg
_cell_length_a 9.160
_cell_length_b 9.160
_cell_length_c 7.490
_cell_angle_alpha 52.30
_cell_angle_beta 52.30
_cell_angle_gamma 90.00
_symmetry_space_group_name_H-M 'P 1'
_symmetry_Int_Tables_number 1
loop_
_symmetry_equiv_pos_as_xyz
'x,y,z'
loop_
_atom_site_label
_atom_site_fract_x
_atom_site_fract_y
_atom_site_fract_z
Sr1 0.653 0.125 0.250
Sr2 0.097 0.625 0.250
Sr3 0.375 0.347 0.750
Sr4 0.875 0.903 0.750
Mg1 0.500 0.500 0.000
Mg2 0.250 0.750 0.500
Hg1 0.000 0.000 0.000
Hg2 0.750 0.250 0.500
```

The total energy comes out at -1.3478 eV/atom. The formation energy comes out at -0.0328 eV/atom.



The records above give, respectively, calculated volume values of 354.5, 309.5, 357.4, 319.6, 320.1, 210.9, 299.3, 380.6, 809.3, 221.2, 476.0, 315.5 Å³/cell.